No. 1
A geometry-optimized Na2LiMnRh structure. Source: Alexandria, functional PBE.

```
data_Na2LiMnRh
_cell_length_a 4.411
_cell_length_b 4.411
_cell_length_c 4.845
_cell_angle_alpha 90.00
_cell_angle_beta 90.00
_cell_angle_gamma 90.00
_space_group_name_H-M_alt 'P 4/m m m'
_space_group_IT_number 123
_space_group_name_Hall '-P 4 2'
loop_
_atom_site_label
_atom_site_type_symbol
_atom_site_fract_x
_atom_site_fract_y
_atom_site_fract_z
Na1 Na 0.000 0.500 0.000
Li1 Li 0.000 0.000 0.000
Mn1 Mn 0.000 0.000 0.500
Rh1 Rh 0.500 0.500 0.500
```

Results
E   -16.37 eV/f.u.
Spin magnetization   0.90 μB per atom
V   18.9 A^3/atom
Energy above the lowest structure with this stoichiometry   103 kJ/mol of formula units
Calculated formation energy   4.7 eV/f.u.



No. 2
A geometry-optimized Na2LiMnRh structure. Source: Alexandria, functional PBE.

```
data_Na2LiMnRh
_cell_length_a 4.610
_cell_length_b 4.610
_cell_length_c 4.565
_cell_angle_alpha 90.00
_cell_angle_beta 90.00
_cell_angle_gamma 90.00
_space_group_name_H-M_alt 'P 4/m m m'
_space_group_IT_number 123
_space_group_name_Hall '-P 4 2'
loop_
_atom_site_label
_atom_site_type_symbol
_atom_site_fract_x
_atom_site_fract_y
_atom_site_fract_z
Na1 Na 0.000 0.500 0.000
Li1 Li 0.000 0.000 0.000
Mn1 Mn 0.500 0.500 0.500
Rh1 Rh 0.000 0.000 0.500
```

Results
E   -17.44 eV/f.u.
Spin magnetization   0.92 μB per atom
V   19.4 A^3/atom
Energy above the lowest structure with this stoichiometry   0 kJ/mol of formula units
Calculated formation energy   3.6 eV/f.u.



No. 3
A geometry-optimized NaLiMn2S4 structure. Source: Alexandria, functional PBE.

```
data_NaLiMn2S4
_cell_length_a 7.471
_cell_length_b 6.686
_cell_length_c 6.387
_cell_angle_alpha 90.00
_cell_angle_beta 90.00
_cell_angle_gamma 90.00
_space_group_name_H-M_alt 'P m n 21'
_space_group_IT_number 31
_space_group_name_Hall 'P 2ac -2'
loop_
_atom_site_label
_atom_site_type_symbol
_atom_site_fract_x
_atom_site_fract_y
_atom_site_fract_z
Na1 Na 0.000 0.208 0.000
Li1 Li 0.000 0.799 0.500
Mn1 Mn 0.249 0.333 0.477
S1 S 0.000 0.167 0.428
S2 S 0.000 0.804 0.889
S3 S 0.226 0.599 0.299
```

Results
E   -42.98 eV/f.u.
Spin magnetization   0.00 μB per atom
Formation energy without anion corrections   -0.612 eV per atom
V   19.9 A^3/atom



No. 4
A geometry-optimized NaLiMn2S structure. Source: Alexandria, functional PBE.

```
data_NaLiMn2S
_cell_length_a 4.444
_cell_length_b 4.444
_cell_length_c 4.657
_cell_angle_alpha 90.00
_cell_angle_beta 90.00
_cell_angle_gamma 90.00
_space_group_name_H-M_alt 'P 4/m m m'
_space_group_IT_number 123
_space_group_name_Hall '-P 4 2'
loop_
_atom_site_label
_atom_site_type_symbol
_atom_site_fract_x
_atom_site_fract_y
_atom_site_fract_z
Na1 Na 0.000 0.000 0.000
Li1 Li 0.500 0.500 0.000
Mn1 Mn 0.000 0.500 0.500
S1 S 0.500 0.500 0.500
```

Results
E   -25.47 eV/f.u.
Spin magnetization   1.22 μB per atom
Formation energy without anion corrections   0.046 eV per atom
V   18.4 A^3/atom



No. 5
A geometry-optimized NaLiMnSe3 structure. Source: Alexandria, functional PBE.

```
data_NaLiMnSe3
_cell_length_a 7.371
_cell_length_b 3.777
_cell_length_c 9.561
_cell_angle_alpha 90.00
_cell_angle_beta 109.15
_cell_angle_gamma 90.00
_space_group_name_H-M_alt 'P 1 21/m 1'
_space_group_IT_number 11
_space_group_name_Hall '-P 2yb'
loop_
_atom_site_label
_atom_site_type_symbol
_atom_site_fract_x
_atom_site_fract_y
_atom_site_fract_z
Na1 Na 0.214 0.250 0.176
Li1 Li 0.424 0.250 0.897
Mn1 Mn 0.185 0.750 0.654
Se1 Se 0.056 0.750 0.378
Se2 Se 0.227 0.750 0.927
Se3 Se 0.407 0.250 0.637
```

Results
E   -27.42 eV/f.u.
Spin magnetization   0.50 μB per atom
Formation energy without anion corrections   -0.761 eV per atom
V   21.0 A^3/atom



No. 6
A geometry-optimized LiMn2Nb2 structure. Source: Alexandria, functional PBE.

```
data_LiMn2Nb2
_cell_length_a 7.116
_cell_length_b 7.116
_cell_length_c 3.086
_cell_angle_alpha 90.00
_cell_angle_beta 90.00
_cell_angle_gamma 90.00
_space_group_name_H-M_alt 'P 4/m b m'
_space_group_IT_number 127
_space_group_name_Hall '-P 4 2ab'
loop_
_atom_site_label
_atom_site_type_symbol
_atom_site_fract_x
_atom_site_fract_y
_atom_site_fract_z
Li1 Li 0.000 0.000 0.000
Mn1 Mn 0.135 0.365 0.000
Nb1 Nb 0.160 0.660 0.500
```

Results
E   -39.12 eV/f.u.
Spin magnetization   0.53 μB per atom
V   15.6 A^3/atom
Calculated formation energy   1.3 eV/f.u.



No. 7
A geometry-optimized Li2MnNb structure. Source: Alexandria, functional PBE.

```
data_Li2MnNb
_cell_length_a 5.925
_cell_length_b 5.925
_cell_length_c 5.925
_cell_angle_alpha 90.00
_cell_angle_beta 90.00
_cell_angle_gamma 90.00
_space_group_name_H-M_alt 'F m -3 m'
_space_group_IT_number 225
_space_group_name_Hall '-F 4 2 3'
loop_
_atom_site_label
_atom_site_type_symbol
_atom_site_fract_x
_atom_site_fract_y
_atom_site_fract_z
Li1 Li 0.250 0.250 0.250
Mn1 Mn 0.000 0.000 0.000
Nb1 Nb 0.000 0.000 0.500
```

Results
E   -19.88 eV/f.u.
Spin magnetization   0.00 μB per atom
V   13.0 A^3/atom
Energy above the lowest structure with this stoichiometry   0 kJ/mol of formula units
Calculated formation energy   3.2 eV/f.u.



No. 8
A geometry-optimized LiMn2Nb structure. Source: Alexandria, functional PBE.

```
data_LiMn2Nb
_cell_length_a 6.686
_cell_length_b 6.686
_cell_length_c 5.305
_cell_angle_alpha 90.00
_cell_angle_beta 90.00
_cell_angle_gamma 90.00
_space_group_name_H-M_alt 'I -4 2 d'
_space_group_IT_number 122
_space_group_name_Hall 'I -4 2bw'
loop_
_atom_site_label
_atom_site_type_symbol
_atom_site_fract_x
_atom_site_fract_y
_atom_site_fract_z
Li1 Li 0.000 0.000 0.000
Mn1 Mn 0.237 0.750 0.125
Nb1 Nb 0.000 0.000 0.500
```

Results
E   -27.92 eV/f.u.
Spin magnetization   1.04 μB per atom
V   14.8 A^3/atom
Energy above the lowest structure with this stoichiometry   137 kJ/mol of formula units
Calculated formation energy   2.4 eV/f.u.



Question: What is the E in the fourth record?
Answer: -25.47 eV/f.u.